1.
VASP calculation (PBE) on a relaxed NdDy2Sn crystal.

Lattice parameters (Å, degrees): 11.149 11.149 11.149 18.57 18.57 18.57
Positions (direct):
1 Nd 0.000 0.000 0.000
2 Dy 0.577 0.577 0.577
3 Dy 0.757 0.757 0.757
4 Sn 0.167 0.167 0.167

Properties
Magnetization (μB per formula unit): 0.0

2.
VASP calculation (PBE) on a relaxed NdDy2Sn crystal.

Lattice parameters (Å, degrees): 4.674 4.726 11.524 90.00 101.66 90.00
Positions (direct):
1 Nd 0.193 0.250 0.387
2 Nd 0.807 0.750 0.613
3 Dy 0.059 0.750 0.117
4 Dy 0.436 0.750 0.873
5 Dy 0.564 0.250 0.127
6 Dy 0.941 0.250 0.883
7 Sn 0.338 0.250 0.674
8 Sn 0.662 0.750 0.326

Properties
Magnetization (μB per formula unit): 0.0

Q: Which of them is the most stable? A: 2.

1.
VASP calculation (PBE) on a relaxed NdDyTlSn crystal.

Lattice parameters (Å, degrees): 5.433 5.433 5.433 60.00 60.00 60.00
Positions (direct):
1 Nd 0.000 0.000 0.000
2 Dy 0.500 0.500 0.500
3 Tl 0.250 0.250 0.250
4 Sn 0.750 0.750 0.750

Properties
Magnetization (μB per formula unit): 0.0

2.
VASP calculation (PBE) on a relaxed NdDyTlSn crystal.

Lattice parameters (Å, degrees): 4.391 6.266 6.266 43.40 90.00 90.00
Positions (direct):
1 Nd 0.000 0.000 0.000
2 Dy 0.500 0.729 0.729
3 Tl 0.500 0.455 0.455
4 Sn 0.000 0.275 0.275

Properties
Magnetization (μB per formula unit): 0.0

Q: Which of them is the most stable? A: 2.

1.
VASP calculation (PBE) on a relaxed SrNdDy crystal.

Lattice parameters (Å, degrees): 3.775 3.775 18.892 90.00 90.00 120.00
Positions (direct):
1 Sr 0.000 0.000 0.102
2 Sr 0.000 0.000 0.898
3 Nd 0.333 0.667 0.580
4 Nd 0.667 0.333 0.420
5 Dy 0.333 0.667 0.271
6 Dy 0.667 0.333 0.729

Properties
Magnetization (μB per formula unit): 0.0

2.
VASP calculation (PBE) on a relaxed SrNdDy crystal.

Lattice parameters (Å, degrees): 3.769 3.769 9.380 90.00 90.00 120.00
Positions (direct):
1 Sr 0.000 0.000 0.000
2 Nd 0.667 0.333 0.359
3 Dy 0.333 0.667 0.653

Properties
Magnetization (μB per formula unit): 0.0

3.
VASP calculation (PBE) on a relaxed SrNdDy crystal.

Lattice parameters (Å, degrees): 8.556 8.556 8.556 154.52 154.52 36.35
Positions (direct):
1 Sr 0.000 0.000 0.000
2 Nd 0.682 0.682 0.000
3 Dy 0.322 0.322 0.000

Properties
Magnetization (μB per formula unit): 0.0

Q: Which of them is the most stable? A: 3.

1.
VASP calculation (PBE) on a relaxed SrNd2Dy crystal.

Lattice parameters (Å, degrees): 12.589 12.589 12.589 17.06 17.06 17.06
Positions (direct):
1 Sr 0.000 0.000 0.000
2 Nd 0.576 0.576 0.576
3 Nd 0.757 0.757 0.757
4 Dy 0.166 0.166 0.166

Properties
Magnetization (μB per formula unit): 0.0

2.
VASP calculation (PBE) on a relaxed SrNd2Dy crystal.

Lattice parameters (Å, degrees): 5.302 5.302 5.275 90.00 90.00 90.00
Positions (direct):
1 Sr 0.000 0.000 0.000
2 Nd 0.000 0.500 0.500
3 Nd 0.500 0.000 0.500
4 Dy 0.500 0.500 0.000

Properties
Magnetization (μB per formula unit): 0.0

3.
VASP calculation (PBE) on a relaxed SrNd2Dy crystal.

Lattice parameters (Å, degrees): 3.740 3.740 10.758 90.00 90.00 90.00
Positions (direct):
1 Sr 0.000 0.000 0.000
2 Nd 0.500 0.500 0.277
3 Nd 0.500 0.500 0.723
4 Dy 0.000 0.000 0.500

Properties
Magnetization (μB per formula unit): 0.0

4.
VASP calculation (PBE) on a relaxed SrNd2Dy crystal.

Lattice parameters (Å, degrees): 5.964 5.964 5.964 60.00 60.00 60.00
Positions (direct):
1 Sr 0.000 0.000 0.000
2 Nd 0.250 0.250 0.250
3 Nd 0.750 0.750 0.750
4 Dy 0.500 0.500 0.500

Properties
Magnetization (μB per formula unit): 0.0

Q: Which of them is the most stable? A: 3.

1.
VASP calculation (PBE) on a relaxed TbNd6Dy3 crystal.

Lattice parameters (Å, degrees): 11.803 11.803 6.458 90.00 90.00 130.66
Positions (direct):
1 Tb 0.158 0.842 0.500
2 Tb 0.842 0.158 0.000
3 Nd 0.016 0.984 0.701
4 Nd 0.106 0.545 0.192
5 Nd 0.260 0.380 0.945
6 Nd 0.301 0.699 0.716
7 Nd 0.380 0.260 0.445
8 Nd 0.455 0.894 0.192
9 Nd 0.545 0.106 0.692
10 Nd 0.620 0.740 0.945
11 Nd 0.699 0.301 0.216
12 Nd 0.740 0.620 0.445
13 Nd 0.894 0.455 0.692
14 Nd 0.984 0.016 0.201
15 Dy 0.042 0.293 0.524
16 Dy 0.293 0.042 0.024
17 Dy 0.420 0.580 0.425
18 Dy 0.580 0.420 0.925
19 Dy 0.707 0.958 0.524
20 Dy 0.958 0.707 0.024

Properties
Magnetization (μB per formula unit): 0.0

2.
VASP calculation (PBE) on a relaxed TbNd6Dy3 crystal.

Lattice parameters (Å, degrees): 11.126 11.126 6.396 90.00 90.00 120.75
Positions (direct):
1 Tb 0.195 0.805 0.500
2 Tb 0.805 0.195 0.000
3 Nd 0.036 0.964 0.735
4 Nd 0.058 0.477 0.247
5 Nd 0.280 0.720 0.963
6 Nd 0.289 0.372 0.064
7 Nd 0.372 0.289 0.564
8 Nd 0.477 0.058 0.747
9 Nd 0.523 0.942 0.247
10 Nd 0.628 0.711 0.064
11 Nd 0.711 0.628 0.564
12 Nd 0.720 0.280 0.463
13 Nd 0.942 0.523 0.747
14 Nd 0.964 0.036 0.235
15 Dy 0.056 0.287 0.649
16 Dy 0.287 0.056 0.149
17 Dy 0.385 0.615 0.530
18 Dy 0.615 0.385 0.030
19 Dy 0.713 0.944 0.649
20 Dy 0.944 0.713 0.149

Properties
Magnetization (μB per formula unit): 0.0

Q: Which of them is the most stable? A: 1.

1.
VASP calculation (PBE) on a relaxed Tb2Nd3Dy4 crystal.

Lattice parameters (Å, degrees): 6.216 6.216 14.797 110.42 110.42 33.60
Positions (direct):
1 Tb 0.054 0.054 0.221
2 Tb 0.946 0.946 0.779
3 Nd 0.390 0.390 0.557
4 Nd 0.500 0.500 0.000
5 Nd 0.610 0.610 0.443
6 Dy 0.170 0.170 0.670
7 Dy 0.278 0.278 0.111
8 Dy 0.722 0.722 0.889
9 Dy 0.830 0.830 0.330

Properties
Magnetization (μB per formula unit): 0.0

2.
VASP calculation (PBE) on a relaxed Tb2Nd3Dy4 crystal.

Lattice parameters (Å, degrees): 10.106 10.106 6.154 95.75 95.75 70.77
Positions (direct):
1 Tb 0.011 0.776 0.709
2 Tb 0.224 0.989 0.791
3 Tb 0.776 0.011 0.209
4 Tb 0.989 0.224 0.291
5 Nd 0.143 0.857 0.250
6 Nd 0.189 0.479 0.416
7 Nd 0.479 0.189 0.916
8 Nd 0.521 0.811 0.084
9 Nd 0.811 0.521 0.584
10 Nd 0.857 0.143 0.750
11 Dy 0.112 0.344 0.873
12 Dy 0.324 0.556 0.959
13 Dy 0.344 0.112 0.373
14 Dy 0.444 0.676 0.541
15 Dy 0.556 0.324 0.459
16 Dy 0.656 0.888 0.627
17 Dy 0.676 0.444 0.041
18 Dy 0.888 0.656 0.127

Properties
Magnetization (μB per formula unit): 0.0

Q: Which of them is the most stable? A: 1.

1.
VASP calculation (PBE) on a relaxed Tb5NdDy crystal.

Lattice parameters (Å, degrees): 7.917 7.917 7.917 137.10 113.82 82.16
Positions (direct):
1 Tb 0.000 0.000 0.000
2 Tb 0.246 0.746 0.500
3 Tb 0.322 0.500 0.822
4 Tb 0.678 0.500 0.178
5 Tb 0.754 0.254 0.500
6 Nd 0.000 0.500 0.500
7 Dy 0.500 0.000 0.500

Properties
Magnetization (μB per formula unit): 0.0

2.
VASP calculation (PBE) on a relaxed Tb5NdDy crystal.

Lattice parameters (Å, degrees): 6.793 6.793 12.257 107.78 107.78 59.89
Positions (direct):
1 Tb 0.087 0.351 0.746
2 Tb 0.090 0.910 0.750
3 Tb 0.154 0.688 0.000
4 Tb 0.312 0.846 0.500
5 Tb 0.351 0.087 0.246
6 Tb 0.649 0.913 0.754
7 Tb 0.688 0.154 0.500
8 Tb 0.846 0.312 0.000
9 Tb 0.910 0.090 0.250
10 Tb 0.913 0.649 0.254
11 Nd 0.470 0.530 0.250
12 Nd 0.530 0.470 0.750
13 Dy 0.000 0.500 0.500
14 Dy 0.500 0.000 0.000

Properties
Magnetization (μB per formula unit): 0.0

Q: Which of them is the most stable? A: 2.

1.
VASP calculation (PBE) on a relaxed Tb5Nd2Dy12 crystal.

Lattice parameters (Å, degrees): 6.767 9.000 11.475 98.47 105.21 109.54
Positions (direct):
1 Tb 0.000 0.000 0.000
2 Tb 0.108 0.847 0.480
3 Tb 0.359 0.793 0.948
4 Tb 0.641 0.207 0.052
5 Tb 0.892 0.153 0.520
6 Nd 0.478 0.267 0.584
7 Nd 0.522 0.733 0.416
8 Dy 0.008 0.625 0.151
9 Dy 0.155 0.322 0.303
10 Dy 0.199 0.081 0.774
11 Dy 0.250 0.565 0.626
12 Dy 0.385 0.027 0.274
13 Dy 0.429 0.496 0.122
14 Dy 0.571 0.504 0.878
15 Dy 0.615 0.973 0.726
16 Dy 0.750 0.435 0.374
17 Dy 0.801 0.919 0.226
18 Dy 0.845 0.678 0.697
19 Dy 0.992 0.375 0.849

Properties
Magnetization (μB per formula unit): 0.0

2.
VASP calculation (PBE) on a relaxed Tb5Nd2Dy12 crystal.

Lattice parameters (Å, degrees): 9.132 9.132 8.557 91.12 91.12 60.78
Positions (direct):
1 Tb 0.000 0.000 0.000
2 Tb 0.231 0.231 0.075
3 Tb 0.301 0.301 0.489
4 Tb 0.699 0.699 0.511
5 Tb 0.769 0.769 0.925
6 Nd 0.318 0.682 0.500
7 Nd 0.682 0.318 0.500
8 Dy 0.025 0.665 0.256
9 Dy 0.091 0.091 0.382
10 Dy 0.182 0.564 0.844
11 Dy 0.335 0.975 0.744
12 Dy 0.436 0.818 0.156
13 Dy 0.442 0.442 0.168
14 Dy 0.558 0.558 0.832
15 Dy 0.564 0.182 0.844
16 Dy 0.665 0.025 0.256
17 Dy 0.818 0.436 0.156
18 Dy 0.909 0.909 0.618
19 Dy 0.975 0.335 0.744

Properties
Magnetization (μB per formula unit): 0.0

Q: Which of them is the most stable? A: 1.

1.
VASP calculation (PBE) on a relaxed TbNd2Dy crystal.

Lattice parameters (Å, degrees): 5.749 5.749 5.749 60.00 60.00 60.00
Positions (direct):
1 Tb 0.000 0.000 0.000
2 Nd 0.250 0.250 0.250
3 Nd 0.750 0.750 0.750
4 Dy 0.500 0.500 0.500

Properties
Magnetization (μB per formula unit): 0.0

2.
VASP calculation (PBE) on a relaxed TbNd2Dy crystal.

Lattice parameters (Å, degrees): 11.920 11.920 11.920 17.47 17.47 17.47
Positions (direct):
1 Tb 0.000 0.000 0.000
2 Nd 0.250 0.250 0.250
3 Nd 0.750 0.750 0.750
4 Dy 0.500 0.500 0.500

Properties
Magnetization (μB per formula unit): 0.0

3.
VASP calculation (PBE) on a relaxed TbNd2Dy crystal.

Lattice parameters (Å, degrees): 5.127 5.127 5.080 90.00 90.00 90.00
Positions (direct):
1 Tb 0.000 0.000 0.000
2 Nd 0.000 0.500 0.500
3 Nd 0.500 0.000 0.500
4 Dy 0.500 0.500 0.000

Properties
Magnetization (μB per formula unit): 0.0

4.
VASP calculation (PBE) on a relaxed TbNd2Dy crystal.

Lattice parameters (Å, degrees): 5.651 6.889 6.889 30.03 90.00 90.00
Positions (direct):
1 Tb 0.000 0.000 0.000
2 Nd 0.000 0.743 0.743
3 Nd 0.500 0.617 0.617
4 Dy 0.500 0.359 0.359

Properties
Magnetization (μB per formula unit): 0.0

Q: Which of them is the most stable? A: 2.

1.
VASP calculation (PBE) on a relaxed TbNd2Dy crystal.

Lattice parameters (Å, degrees): 6.978 6.978 6.978 148.91 129.35 60.63
Positions (direct):
1 Tb 0.000 0.000 0.000
2 Nd 0.251 0.751 0.500
3 Nd 0.514 0.514 0.000
4 Dy 0.761 0.261 0.500

Properties
Magnetization (μB per formula unit): 0.0

2.
VASP calculation (PBE) on a relaxed TbNd2Dy crystal.

Lattice parameters (Å, degrees): 3.620 3.620 10.205 90.00 90.00 90.00
Positions (direct):
1 Tb 0.000 0.000 0.000
2 Nd 0.500 0.500 0.251
3 Nd 0.500 0.500 0.749
4 Dy 0.000 0.000 0.500

Properties
Magnetization (μB per formula unit): 0.0

Q: Which of them is the most stable? A: 2.